Entry 1:
GGA-PBE Tc2Sb2Rh, relaxed; space group = P4/mbm (127); raw total energy = -7.0014 eV/atom; Fermi-level density of states = 1.360 states/eV per atom
1.0
7.3798 0.0000 0.0000
0.0000 7.3798 0.0000
0.0000 0.0000 3.2627
Tc Sb Rh
4 4 2
Direct
0.1328 0.3672 0.0000 Tc
0.3672 0.8672 0.0000 Tc
0.6328 0.1328 0.0000 Tc
0.8672 0.6328 0.0000 Tc
0.1670 0.6670 0.5000 Sb
0.3330 0.1670 0.5000 Sb
0.6670 0.8330 0.5000 Sb
0.8330 0.3330 0.5000 Sb
0.0000 0.0000 0.0000 Rh
0.5000 0.5000 0.0000 Rh

***

Entry 2:
GGA-PBE Tc2Sb2Rh, relaxed; space group = I4/mmm (139); raw total energy = -6.5719 eV/atom; Fermi-level density of states = 0.951 states/eV per atom
1.0
-2.1029 2.1029 5.6434
2.1029 -2.1029 5.6434
2.1029 2.1029 -5.6434
Tc Sb Rh
2 2 1
Direct
0.1023 0.1023 0.0000 Tc
0.8977 0.8977 0.0000 Tc
0.2500 0.7500 0.5000 Sb
0.7500 0.2500 0.5000 Sb
0.5000 0.5000 0.0000 Rh

***

Entry 3:
GGA-PBE TcSbRh2, relaxed; space group = I-42d (122); raw total energy = -6.7162 eV/atom; Fermi-level density of states = 0.915 states/eV per atom
1.0
-2.8341 2.8341 5.7905
2.8341 -2.8341 5.7905
2.8341 2.8341 -5.7905
Tc Sb Rh
2 2 4
Direct
0.0000 0.0000 0.0000 Tc
0.7500 0.2500 0.5000 Tc
0.2500 0.7500 0.5000 Sb
0.5000 0.5000 0.0000 Sb
0.0952 0.6250 0.9702 Rh
0.3750 0.3452 0.4702 Rh
0.6548 0.1250 0.0298 Rh
0.8750 0.9048 0.5298 Rh